# 1
An optimized crystal structure of Sr3Tl2Zn4. Source: Alexandria via LeMat-Bulk, functional GGA-PBE.

Cell and atoms, written as POSCAR:
```
Sr3Tl2Zn4
1.0
4.824 0.000 0.000
-2.412 5.561 -1.778
0.000 -0.427 9.328
Sr Tl Zn
3 2 4
direct
0.659 0.318 0.674 Sr
0.000 0.000 0.000 Sr
0.341 0.682 0.326 Sr
0.623 0.246 0.286 Tl
0.377 0.754 0.714 Tl
0.725 0.449 0.047 Zn
0.275 0.551 0.953 Zn
0.936 0.872 0.593 Zn
0.064 0.128 0.407 Zn
```

**Space group**: No. 12
**Calculated formation energy**: -2.4 eV/f.u.
**Total moment**: 0.00 μB per cell

# 2
An optimized crystal structure of Ce3NpSe4. Source: Alexandria via LeMat-Bulk, functional GGA-PBE.

Cell and atoms, written as POSCAR:
```
Ce3NpSe4
1.0
7.253 0.080 0.000
-2.467 6.792 0.000
0.000 0.000 8.322
Np Se Ce
2 8 6
direct
0.750 0.000 0.875 Np
0.250 0.000 0.125 Np
0.998 0.248 0.628 Se
0.500 0.244 0.878 Se
0.498 0.248 0.372 Se
0.000 0.244 0.122 Se
0.000 0.756 0.878 Se
0.502 0.752 0.628 Se
0.500 0.756 0.122 Se
0.002 0.752 0.372 Se
0.750 0.000 0.375 Ce
0.250 0.000 0.625 Ce
0.750 0.500 0.626 Ce
0.750 0.500 0.124 Ce
0.250 0.500 0.374 Ce
0.250 0.500 0.876 Ce
```

**Space group**: No. 13
**Final energy**: -57.7 eV per formula unit
**Total moment**: 14.24 μB per cell

# 3
An optimized crystal structure of TaAgSe. Source: Alexandria via LeMat-Bulk, functional GGA-PBE.

Cell and atoms, written as POSCAR:
```
TaAgSe
1.0
-1.498 2.719 -0.787
-1.702 -2.586 0.820
0.149 1.957 6.478
Ag Se Ta
1 1 1
direct
0.000 0.000 0.979 Ag
0.667 0.333 0.379 Se
0.333 0.667 0.642 Ta
```

**Space group**: No. 156
**Energy above the most stable polymorph in this dataset**: 0 meV per atom
**Total moment**: 0.00 μB per cell

# 4
An optimized crystal structure of Ho3Zn2Cu4. Source: Alexandria via LeMat-Bulk, functional GGA-PBE.

Cell and atoms, written as POSCAR:
```
Ho3Zn2Cu4
1.0
-2.891 -3.159 -0.529
0.985 -3.093 -4.507
3.691 -6.733 2.441
Ho Zn Cu
3 2 4
direct
0.352 0.608 0.688 Ho
0.000 0.000 0.000 Ho
0.648 0.392 0.312 Ho
0.353 0.981 0.312 Zn
0.647 0.019 0.688 Zn
0.273 0.391 0.062 Cu
0.727 0.609 0.938 Cu
0.078 0.256 0.588 Cu
0.922 0.744 0.412 Cu
```

**Space group**: No. 12
**Energy above the most stable polymorph in this dataset**: 0 meV per atom
**Calculated formation energy**: -2.7 eV/f.u.
**Total moment**: 0.00 μB per cell